The following is a PBE calculation of an optimized crystal structure of CsErBi2, from Alexandria.

Summary:
* excess energy over the best structure of this formula in the dataset: 0.000 eV per atom
* total moment: 0.00 μB per cell
* crystal system: tetragonal
* formation energy: -0.48 eV per atom

abc: 3.7350 3.7350 10.1897
angles: 90.00 90.00 90.00
Last column: nearest neighbours and their distance in Å.
Space group P4/mmm (No. 123)
Unique sites:
Cs1 0.0000 0.0000 0.0000 [1 per cell]  4 Cs 3.74, 8 Bi 4.01
Er1 0.0000 0.0000 0.5000 [1 per cell]  8 Bi 3.36, 4 Er 3.74
Bi1 0.5000 0.5000 0.2961 [2 per cell]  4 Er 3.36, 4 Bi 3.74